This record from the Alexandria database describes crystalline Mg2TiRh2 at its relaxed geometry. The functional is PBE.

Cell lengths 7.3723, 7.3723, 2.9404 Å; angles 90.00, 90.00, 90.00 degrees
Last column: nearest neighbours and their distance in Å.
Positions (direct):
Rh 0.1761 0.6761 0.5000  6 Mg 2.54-2.69
Rh 0.8239 0.3239 0.5000  6 Mg 2.54-2.69
Rh 0.3239 0.1761 0.5000  6 Mg 2.54-2.69
Rh 0.6761 0.8239 0.5000  6 Mg 2.54-2.69
Mg 0.8746 0.6254 0.0000  6 Rh 2.54-2.69, 1 Mg 2.61
Mg 0.6254 0.1254 0.0000  6 Rh 2.54-2.69, 1 Mg 2.61
Mg 0.3746 0.8746 0.0000  6 Rh 2.54-2.69, 1 Mg 2.61
Mg 0.1254 0.3746 0.0000  6 Rh 2.54-2.69, 1 Mg 2.61
Ti 0.0000 0.0000 0.0000  4 Mg 2.91, 2 Ti 2.94, 8 Rh 3.09
Ti 0.5000 0.5000 0.0000  4 Mg 2.91, 2 Ti 2.94, 8 Rh 3.09

Computed properties:
V, Å³ per atom: 15.98
VASP energy, eV/atom: -5.419
Formation enthalpy at 0 K, eV/atom: -0.261